The following is a DFT calculation (PBE-GGA) of a relaxed DyHo2ScRh4 crystal.

**E_form**: -0.9155 eV/atom
**DFT total energy**: -56.82 eV per cell
**Fermi-level density of states**: 0.4157 states/eV/atom

The structure in POSCAR format:
```
DyHo2ScRh4
1.0
2.381 1.375 7.803
-2.381 1.375 7.803
0.000 -2.750 7.803
Dy Ho Sc Rh
1 2 1 4
Direct
0.000 0.000 0.000
0.248 0.248 0.248
0.752 0.752 0.752
0.500 0.500 0.500
0.127 0.127 0.127
0.378 0.378 0.378
0.622 0.622 0.622
0.873 0.873 0.873
```

=====

The following is a DFT calculation (PBE-GGA) of a relaxed SmDy2HoRh4 crystal.

**E_form**: -0.8466 eV/atom
**DFT total energy**: -54.68 eV per cell
**Fermi-level density of states**: 0.4624 states/eV/atom

The structure in POSCAR format:
```
SmDy2HoRh4
1.0
2.430 1.403 7.960
-2.430 1.403 7.960
0.000 -2.806 7.960
Sm Dy Ho Rh
1 2 1 4
Direct
0.000 0.000 0.000
0.249 0.249 0.249
0.751 0.751 0.751
0.500 0.500 0.500
0.126 0.126 0.126
0.376 0.376 0.376
0.624 0.624 0.624
0.874 0.874 0.874
```

=====

The following is a DFT calculation (PBE-GGA) of a relaxed DyHoSnRh crystal.

**E_form**: -0.6623 eV/atom
**DFT total energy**: -23.18 eV per cell
**Fermi-level density of states**: 0.5782 states/eV/atom

The structure in POSCAR format:
```
DyHoSnRh
1.0
0.000 3.598 3.598
3.598 0.000 3.598
3.598 3.598 0.000
Dy Ho Sn Rh
1 1 1 1
Direct
0.000 0.000 0.000
0.500 0.500 0.500
0.250 0.250 0.250
0.750 0.750 0.750
```

=====

The following is a DFT calculation (PBE-GGA) of a relaxed TbDyHo2Rh4 crystal.

**E_form**: -0.8889 eV/atom
**DFT total energy**: -54.90 eV per cell
**Fermi-level density of states**: 0.4225 states/eV/atom

The structure in POSCAR format:
```
TbDyHo2Rh4
1.0
2.418 1.396 7.911
-2.418 1.396 7.911
0.000 -2.792 7.911
Tb Dy Ho Rh
1 1 2 4
Direct
0.000 0.000 0.000
0.500 0.500 0.500
0.250 0.250 0.250
0.750 0.750 0.750
0.125 0.125 0.125
0.375 0.375 0.375
0.625 0.625 0.625
0.875 0.875 0.875
```

=====

The following is a DFT calculation (PBE-GGA) of a relaxed TbDy2HoRh4 crystal.

**E_form**: -0.8816 eV/atom
**DFT total energy**: -54.87 eV per cell
**Fermi-level density of states**: 0.4287 states/eV/atom

The structure in POSCAR format:
```
TbDy2HoRh4
1.0
2.420 1.397 7.920
-2.420 1.397 7.920
0.000 -2.795 7.920
Tb Dy Ho Rh
1 2 1 4
Direct
0.000 0.000 0.000
0.250 0.250 0.250
0.750 0.750 0.750
0.500 0.500 0.500
0.125 0.125 0.125
0.375 0.375 0.375
0.625 0.625 0.625
0.875 0.875 0.875
```

=====

The following is a DFT calculation (PBE-GGA) of a relaxed DyHoTlRh crystal.

**E_form**: -0.5028 eV/atom
**Excess energy over the best structure of this formula in the dataset**: 121 meV per atom
**DFT total energy**: -20.91 eV per cell
**Fermi-level density of states**: 0.4180 states/eV/atom

The structure in POSCAR format:
```
DyHoTlRh
1.0
0.000 3.609 3.609
3.609 0.000 3.609
3.609 3.609 0.000
Dy Ho Tl Rh
1 1 1 1
Direct
0.000 0.000 0.000
0.500 0.500 0.500
0.250 0.250 0.250
0.750 0.750 0.750
```

=====

The following is a DFT calculation (PBE-GGA) of a relaxed DyHoTlRh crystal.

**E_form**: -0.6240 eV/atom
**Excess energy over the best structure of this formula in the dataset**: 0 meV per atom
**DFT total energy**: -21.39 eV per cell
**Fermi-level density of states**: 0.4168 states/eV/atom

The structure in POSCAR format:
```
DyHoTlRh
1.0
3.527 0.000 0.000
0.000 3.527 0.000
0.000 0.000 7.595
Dy Ho Tl Rh
1 1 1 1
Direct
0.000 0.000 0.000
0.000 0.000 0.570
0.500 0.500 0.286
0.500 0.500 0.783
```

=====

The following is a DFT calculation (PBE-GGA) of a relaxed DyHoTm2Rh4 crystal.

**E_form**: -0.9354 eV/atom
**DFT total energy**: -55.01 eV per cell
**Fermi-level density of states**: 0.3906 states/eV/atom

The structure in POSCAR format:
```
DyHoTm2Rh4
1.0
2.402 1.387 7.850
-2.402 1.387 7.850
0.000 -2.773 7.850
Dy Ho Tm Rh
1 1 2 4
Direct
0.000 0.000 0.000
0.500 0.500 0.500
0.250 0.250 0.250
0.750 0.750 0.750
0.125 0.125 0.125
0.375 0.375 0.375
0.625 0.625 0.625
0.875 0.875 0.875
```

=====

The following is a DFT calculation (PBE-GGA) of a relaxed DyHoZnRh crystal.

**E_form**: -0.6154 eV/atom
**DFT total energy**: -20.27 eV per cell
**Fermi-level density of states**: 0.5623 states/eV/atom

The structure in POSCAR format:
```
DyHoZnRh
1.0
0.000 3.481 3.481
3.481 0.000 3.481
3.481 3.481 0.000
Dy Ho Zn Rh
1 1 1 1
Direct
0.000 0.000 0.000
0.500 0.500 0.500
0.750 0.750 0.750
0.250 0.250 0.250
```

=====

The following is a DFT calculation (PBE-GGA) of a relaxed Dy3HoRu8 crystal.

**E_form**: -0.3030 eV/atom
**DFT total energy**: -96.23 eV per cell
**Fermi-level density of states**: 1.2269 states/eV/atom

The structure in POSCAR format:
```
Dy3HoRu8
1.0
4.608 -2.661 0.000
4.608 2.661 0.000
-3.098 0.000 8.743
Dy Ho Ru
3 1 8
Direct
0.000 0.000 0.000
0.125 0.125 0.375
0.500 0.500 0.500
0.625 0.625 0.875
0.062 0.062 0.688
0.062 0.562 0.187
0.062 0.563 0.688
0.312 0.312 0.937
0.562 0.062 0.187
0.562 0.562 0.187
0.563 0.062 0.688
0.812 0.812 0.437
```

=====

The following is a DFT calculation (PBE-GGA) of a relaxed Dy2HoRu crystal.

**E_form**: -0.3294 eV/atom
**Excess energy over the best structure of this formula in the dataset**: 0 meV per atom
**DFT total energy**: -97.50 eV per cell
**Fermi-level density of states**: 0.7341 states/eV/atom

The structure in POSCAR format:
```
Dy2HoRu
1.0
7.295 0.000 0.000
0.000 9.168 0.000
0.000 0.000 6.301
Dy Ho Ru
8 4 4
Direct
0.177 0.064 0.169
0.177 0.436 0.169
0.323 0.564 0.669
0.323 0.936 0.669
0.677 0.064 0.331
0.677 0.436 0.331
0.823 0.564 0.831
0.823 0.936 0.831
0.041 0.250 0.633
0.459 0.750 0.133
0.541 0.250 0.867
0.959 0.750 0.367
0.115 0.750 0.962
0.385 0.250 0.462
0.615 0.750 0.538
0.885 0.250 0.038
```

=====

The following is a DFT calculation (PBE-GGA) of a relaxed Dy2HoRu2 crystal.

**E_form**: -0.3327 eV/atom
**Excess energy over the best structure of this formula in the dataset**: 0 meV per atom
**DFT total energy**: -34.00 eV per cell
**Fermi-level density of states**: 0.5222 states/eV/atom

The structure in POSCAR format:
```
Dy2HoRu2
1.0
1.695 -10.208 0.000
1.695 10.208 0.000
0.000 0.000 3.367
Dy Ho Ru
2 1 2
Direct
0.165 0.835 0.000
0.835 0.165 0.000
0.000 0.000 0.000
0.413 0.587 0.500
0.587 0.413 0.500
```

=====

Q: The lowest E_form belongs to which entry?
A: DyHoTm2Rh4

=====

Q: Look up the E_form of the seventh one.
A: -0.6240 eV/atom

=====

Q: The highest Fermi-level density of states belongs to which entry?
A: Dy3HoRu8